Entry 1:
KAs2Se4, optimized geometry, DFT PBE; space group = C2; energy above the lowest structure with this stoichiometry = 0.00 kcal/mol of atoms; E_tot = -3.86 eV per atom; density = 3.53 Mg/m³; ΔE_f (raw) = -8.76 kcal/mol of atoms
1.0
5.068 -4.626 0.000
5.068 4.626 0.000
-4.740 0.000 10.116
K As Se
2 4 8
direct
0.000 0.000 0.000
0.679 0.321 0.500
0.372 0.039 0.757
0.389 0.610 0.835
0.390 0.611 0.165
0.961 0.628 0.243
0.170 0.447 0.948
0.175 0.084 0.539
0.229 0.384 0.277
0.553 0.830 0.052
0.613 0.306 0.796
0.616 0.771 0.723
0.694 0.387 0.204
0.916 0.825 0.461

Entry 2:
K2AsSe, optimized geometry, DFT PBE; space group = Pm; energy above the lowest structure with this stoichiometry = 4.58 kcal/mol of atoms; E_tot = -2.97 eV per atom; density = 3.38 Mg/m³; ΔE_f (raw) = -8.97 kcal/mol of atoms
1.0
2.905 0.000 0.000
0.000 6.270 0.000
-0.001 0.000 6.267
K As Se
2 1 1
direct
0.000 0.000 0.000
0.002 0.500 0.499
0.502 0.000 0.500
0.501 0.500 0.000

Entry 3:
K5As2Se6, optimized geometry, DFT PBE; space group = P2_1/c; E_tot = -3.56 eV per atom; density = 3.07 Mg/m³; ΔE_f (raw) = -18.82 kcal/mol of atoms
1.0
4.872 0.000 0.000
0.000 12.969 0.000
-0.948 0.000 14.032
K As Se
10 4 12
direct
0.000 0.000 0.000
0.000 0.500 0.500
0.015 0.051 0.268
0.015 0.449 0.768
0.056 0.697 0.983
0.056 0.803 0.483
0.944 0.197 0.517
0.944 0.303 0.017
0.985 0.551 0.232
0.985 0.949 0.732
0.488 0.200 0.720
0.488 0.300 0.220
0.512 0.700 0.780
0.512 0.800 0.280
0.015 0.696 0.706
0.015 0.804 0.206
0.463 0.060 0.608
0.463 0.440 0.108
0.481 0.147 0.118
0.481 0.353 0.618
0.519 0.647 0.382
0.519 0.853 0.882
0.537 0.560 0.892
0.537 0.940 0.392
0.985 0.196 0.794
0.985 0.304 0.294

Entry 4:
K3AsSe3, optimized geometry, DFT PBE; space group = Cmcm; E_tot = -3.30 eV per atom; density = 2.38 Mg/m³; ΔE_f (raw) = -15.47 kcal/mol of atoms
1.0
5.134 -8.862 0.000
5.134 8.862 0.000
0.000 0.000 6.567
K As Se
6 2 6
direct
0.178 0.822 0.750
0.180 0.358 0.750
0.358 0.180 0.250
0.642 0.820 0.750
0.820 0.642 0.250
0.822 0.178 0.250
0.333 0.667 0.250
0.667 0.333 0.750
0.193 0.807 0.250
0.194 0.387 0.250
0.387 0.194 0.750
0.613 0.806 0.250
0.806 0.613 0.750
0.807 0.193 0.750

Entry 5:
K3AsSe3, optimized geometry, DFT PBE; space group = P2_13; E_tot = -3.56 eV per atom; density = 2.95 Mg/m³; ΔE_f (raw) = -21.42 kcal/mol of atoms
1.0
9.883 0.000 0.000
0.000 9.883 0.000
0.000 0.000 9.883
K As Se
12 4 12
direct
0.079 0.079 0.079
0.184 0.316 0.684
0.187 0.687 0.813
0.313 0.313 0.313
0.316 0.684 0.184
0.421 0.921 0.579
0.579 0.421 0.921
0.684 0.184 0.316
0.687 0.813 0.187
0.813 0.187 0.687
0.816 0.816 0.816
0.921 0.579 0.421
0.023 0.977 0.477
0.477 0.023 0.977
0.523 0.523 0.523
0.977 0.477 0.023
0.005 0.211 0.401
0.099 0.995 0.711
0.211 0.401 0.005
0.289 0.599 0.505
0.401 0.005 0.211
0.495 0.789 0.901
0.505 0.289 0.599
0.599 0.505 0.289
0.711 0.099 0.995
0.789 0.901 0.495
0.901 0.495 0.789
0.995 0.711 0.099

Entry 6:
K2As2Se5, optimized geometry, DFT PBE; space group = P-1; energy above the lowest structure with this stoichiometry = 0.00 kcal/mol of atoms; E_tot = -3.71 eV per atom; density = 3.56 Mg/m³; ΔE_f (raw) = -11.53 kcal/mol of atoms
1.0
5.672 0.000 0.000
-0.022 7.433 0.000
-2.412 -2.923 6.894
K As Se
2 2 5
direct
0.062 0.323 0.139
0.938 0.677 0.861
0.379 0.164 0.686
0.621 0.836 0.314
0.226 0.812 0.369
0.424 0.908 0.822
0.500 0.500 0.000
0.576 0.092 0.178
0.774 0.188 0.631

Entry 7:
KAsSe2, optimized geometry, DFT PBE; space group = P4/mmm; E_tot = -3.33 eV per atom; density = 4.60 Mg/m³; ΔE_f (raw) = -3.46 kcal/mol of atoms
1.0
3.537 0.000 0.000
0.000 3.537 0.000
0.000 0.000 7.857
K As Se
1 1 2
direct
0.000 0.000 0.000
0.000 0.000 0.500
0.500 0.500 0.297
0.500 0.500 0.703

Entry 8:
KAsSe, optimized geometry, DFT PBE; space group = P-1; energy above the lowest structure with this stoichiometry = 0.00 kcal/mol of atoms; E_tot = -3.70 eV per atom; density = 3.19 Mg/m³; ΔE_f (raw) = -14.42 kcal/mol of atoms
1.0
4.093 0.000 0.000
2.009 6.006 0.000
2.046 2.283 8.177
K As Se
2 2 2
direct
0.076 0.187 0.157
0.924 0.813 0.843
0.211 0.635 0.447
0.789 0.365 0.553
0.356 0.620 0.169
0.644 0.380 0.831

Entry 9:
KAsSe2, optimized geometry, DFT PBE; space group = Pmm2; E_tot = -3.58 eV per atom; density = 4.25 Mg/m³; ΔE_f (raw) = -9.27 kcal/mol of atoms
1.0
3.122 0.000 0.000
0.000 5.555 0.000
0.000 0.000 6.132
K As Se
1 1 2
direct
0.000 0.000 0.000
0.500 0.500 0.442
0.500 0.000 0.506
0.500 0.500 0.052

Entry 10:
K2As2Se, optimized geometry, DFT PBE; space group = P4/mbm; energy above the lowest structure with this stoichiometry = 4.72 kcal/mol of atoms; E_tot = -3.24 eV per atom; density = 3.51 Mg/m³; ΔE_f (raw) = -5.55 kcal/mol of atoms
1.0
9.850 0.000 0.000
0.000 9.850 0.000
0.000 0.000 2.990
K As Se
4 4 2
direct
0.209 0.291 0.000
0.291 0.791 0.000
0.709 0.209 0.000
0.791 0.709 0.000
0.084 0.584 0.500
0.416 0.084 0.500
0.584 0.916 0.500
0.916 0.416 0.500
0.000 0.000 0.000
0.500 0.500 0.000

Entry 11:
KAs2Se3, optimized geometry, DFT PBE; space group = P-1; energy above the lowest structure with this stoichiometry = 0.00 kcal/mol of atoms; E_tot = -3.87 eV per atom; density = 3.36 Mg/m³; ΔE_f (raw) = -9.11 kcal/mol of atoms
1.0
6.321 0.000 0.000
-2.451 7.775 0.000
-1.062 -4.249 8.563
K As Se
2 4 6
direct
0.193 0.027 0.275
0.807 0.973 0.725
0.030 0.568 0.677
0.453 0.600 0.121
0.547 0.400 0.879
0.970 0.432 0.323
0.141 0.323 0.100
0.217 0.334 0.681
0.283 0.880 0.764
0.717 0.120 0.236
0.783 0.666 0.319
0.859 0.677 0.900

Entry 12:
KAsSe2, optimized geometry, DFT PBE; space group = F-43m; E_tot = -2.91 eV per atom; density = 4.64 Mg/m³; ΔE_f (raw) = 6.12 kcal/mol of atoms
1.0
0.000 3.651 3.651
3.651 0.000 3.651
3.651 3.651 0.000
K As Se
1 1 2
direct
0.000 0.000 0.000
0.750 0.750 0.750
0.250 0.250 0.250
0.500 0.500 0.500

Entry 13:
KAsSe, optimized geometry, DFT PBE; space group = Imm2; energy above the lowest structure with this stoichiometry = 8.50 kcal/mol of atoms; E_tot = -3.33 eV per atom; density = 3.53 Mg/m³; ΔE_f (raw) = -5.92 kcal/mol of atoms
1.0
-1.522 2.808 5.302
1.522 -2.808 5.302
1.522 2.808 -5.302
K As Se
1 1 1
direct
0.000 0.000 0.000
0.373 0.373 0.000
0.600 0.600 0.000

Entry 14:
K2AsSe, optimized geometry, DFT PBE; space group = Imm2; energy above the lowest structure with this stoichiometry = 1.23 kcal/mol of atoms; E_tot = -3.12 eV per atom; density = 2.90 Mg/m³; ΔE_f (raw) = -12.32 kcal/mol of atoms
1.0
-2.292 2.596 5.583
2.292 -2.596 5.583
2.292 2.596 -5.583
K As Se
2 1 1
direct
0.000 0.000 0.000
0.735 0.235 0.500
0.426 0.426 0.000
0.314 0.814 0.500

Entry 15:
KAsSe2, optimized geometry, DFT PBE; space group = I-42d; E_tot = -3.65 eV per atom; density = 3.24 Mg/m³; ΔE_f (raw) = -10.80 kcal/mol of atoms
1.0
-3.791 3.791 4.846
3.791 -3.791 4.846
3.791 3.791 -4.846
K As Se
2 2 4
direct
0.000 0.000 0.000
0.750 0.250 0.500
0.250 0.750 0.500
0.500 0.500 0.000
0.206 0.125 0.581
0.375 0.794 0.919
0.544 0.625 0.419
0.875 0.456 0.081

Entry 16:
KAsSe, optimized geometry, DFT PBE; space group = P-6m2; energy above the lowest structure with this stoichiometry = 11.97 kcal/mol of atoms; E_tot = -3.18 eV per atom; density = 4.31 Mg/m³; ΔE_f (raw) = -2.45 kcal/mol of atoms
1.0
5.423 0.000 0.000
-2.711 4.696 0.000
0.000 0.000 2.922
K As Se
1 1 1
direct
0.000 0.000 0.000
0.333 0.667 0.500
0.667 0.333 0.500

Entry 17:
KAsSe, optimized geometry, DFT PBE; space group = F-43m; energy above the lowest structure with this stoichiometry = 14.59 kcal/mol of atoms; E_tot = -3.07 eV per atom; density = 3.47 Mg/m³; ΔE_f (raw) = 0.17 kcal/mol of atoms
1.0
0.000 3.586 3.586
3.586 0.000 3.586
3.586 3.586 0.000
K As Se
1 1 1
direct
0.000 0.000 0.000
0.500 0.500 0.500
0.250 0.250 0.250

Entry 18:
KAs2Se4, optimized geometry, DFT PBE; space group = Cmcm; energy above the lowest structure with this stoichiometry = 2.71 kcal/mol of atoms; E_tot = -3.74 eV per atom; density = 4.65 Mg/m³; ΔE_f (raw) = -6.06 kcal/mol of atoms
1.0
1.909 -6.367 0.000
1.909 6.367 0.000
0.000 0.000 14.844
K As Se
2 4 8
direct
0.097 0.903 0.750
0.903 0.097 0.250
0.358 0.642 0.565
0.358 0.642 0.935
0.642 0.358 0.065
0.642 0.358 0.435
0.000 0.000 0.000
0.000 0.000 0.500
0.279 0.721 0.097
0.279 0.721 0.403
0.387 0.613 0.750
0.613 0.387 0.250
0.721 0.279 0.597
0.721 0.279 0.903

Entry 19:
K3AsSe3, optimized geometry, DFT PBE; space group = P2_1/c; E_tot = -3.52 eV per atom; density = 2.96 Mg/m³; ΔE_f (raw) = -20.58 kcal/mol of atoms
1.0
5.362 0.000 0.000
0.000 13.982 0.000
-1.280 0.000 12.855
K As Se
12 4 12
direct
0.207 0.105 0.448
0.207 0.395 0.948
0.259 0.517 0.642
0.259 0.983 0.142
0.277 0.222 0.728
0.277 0.278 0.228
0.723 0.722 0.772
0.723 0.778 0.272
0.741 0.017 0.858
0.741 0.483 0.358
0.793 0.605 0.052
0.793 0.895 0.552
0.254 0.701 0.438
0.254 0.799 0.938
0.746 0.201 0.062
0.746 0.299 0.562
0.233 0.620 0.270
0.233 0.880 0.770
0.260 0.627 0.890
0.260 0.873 0.390
0.323 0.166 0.984
0.323 0.334 0.484
0.677 0.666 0.516
0.677 0.834 0.016
0.740 0.127 0.610
0.740 0.373 0.110
0.767 0.120 0.230
0.767 0.380 0.730

Entry 20:
KAsSe, optimized geometry, DFT PBE; space group = I4mm; energy above the lowest structure with this stoichiometry = 5.61 kcal/mol of atoms; E_tot = -3.46 eV per atom; density = 3.87 Mg/m³; ΔE_f (raw) = -8.81 kcal/mol of atoms
1.0
-1.890 1.890 5.789
1.890 -1.890 5.789
1.890 1.890 -5.789
K As Se
1 1 1
direct
0.000 0.000 0.000
0.279 0.279 0.000
0.719 0.719 0.000